A relaxed NaAl2Ga crystal. Source: Alexandria, functional PBE.

Geometry as POSCAR:
```
NaAl2Ga
1.0
-0.601 -3.662 1.676
4.020 -0.648 0.026
0.587 4.006 8.965
Al Ga Na
4 2 2
direct
0.500 0.000 0.945
0.500 0.500 0.500
0.000 0.000 0.500
0.000 0.500 0.055
0.500 0.000 0.674
0.000 0.500 0.326
0.500 0.000 0.240
0.000 0.500 0.760
```

Output
DFT formation energy in eV/atom: 0.018
VASP energy in eV/atom: -2.939